# 1
# AcInH6Rh2

A relaxed AcInH6Rh2 crystal (PBE-GGA, the Alexandria database).

For the density of states at the Fermi level, the calculation gives 2.3 states/eV/cell. The value obtained for the density is 8.3 g/cm3. For the raw total energy, the calculation gives -4.55 eV per atom.

Cell: 4.7272 4.7272 17.1426 Å, 90.00 90.00 120.00°
Space group R-3m (No. 166, hexagonal axes)
Asymmetric unit:
Ac (0.0000, 0.0000, 0.0000) (multiplicity 3)
In (0.0000, 0.0000, 0.5000) (multiplicity 3)
H (0.0162, 0.5081, 0.9380) (multiplicity 18)
Rh (0.0000, 0.0000, 0.2128) (multiplicity 6)

***

# 2
# Ac5In2HRh

A relaxed Ac5In2HRh crystal (PBE-GGA, the Alexandria database).

For the density of states at the Fermi level, the calculation gives 30.3 states/eV/cell. The value obtained for the density is 7.9 g/cm3. For the raw total energy, the calculation gives -4.50 eV per atom.

Cell: 4.2939 19.5985 14.6249 Å, 90.00 90.00 90.00°
Space group Cmc2_1 (No. 36)
Asymmetric unit:
Ac (0.0000, 0.0006, 0.0000) (multiplicity 4)
Ac (0.0000, 0.1603, 0.2598) (multiplicity 4)
Ac (0.0000, 0.1888, 0.6211) (multiplicity 4)
Ac (0.0000, 0.1912, 0.9038) (multiplicity 4)
Ac (0.0000, 0.4652, 0.2399) (multiplicity 4)
In (0.0000, 0.3732, 0.9412) (multiplicity 4)
In (0.0000, 0.3750, 0.5813) (multiplicity 4)
H (0.0000, 0.0579, 0.6495) (multiplicity 4)
Rh (0.0000, 0.3114, 0.2620) (multiplicity 4)

***

# 3
# AcInHRh2

A relaxed AcInHRh2 crystal (PBE-GGA, the Alexandria database).

For the density of states at the Fermi level, the calculation gives 9.6 states/eV/cell. The value obtained for the density is 9.8 g/cm3. For the raw total energy, the calculation gives -5.46 eV per atom.

Cell: 4.3306 11.9967 7.1785 Å, 90.00 90.00 90.00°
Space group Cmcm (No. 63)
Asymmetric unit:
Ac (0.0000, 0.0761, 0.2500) (multiplicity 4)
In (0.0000, 0.2041, 0.7500) (multiplicity 4)
H (0.0000, 0.5000, 0.0000) (multiplicity 4)
Rh (0.0000, 0.3535, 0.0405) (multiplicity 8)